Entry 1:
The following is a DFT calculation (PBE-GGA) of SrBeW2 after structural relaxation. Values from VASP.

space-group type: Cmmm (65)
Fermi-level density of states: 0.5274 states/eV per atom
energy relative to the elements: 813.8 meV per atom

Cell and atoms, written as Quantum ESPRESSO input:
```
&SYSTEM
  ibrav = 0, nat = 4, ntyp = 3
/
ATOMIC_SPECIES
Sr 87.62 Sr.upf
W 183.84 W.upf
Be 9.01 Be.upf
ATOMIC_POSITIONS angstrom
Sr -3.031 -6.224 0.634
W -0.110 -0.623 0.065
W -0.658 -3.743 0.388
Be -2.263 -1.857 0.181
CELL_PARAMETERS angstrom
-1.891 0.538 1.984
-1.868 0.113 -2.074
-1.535 -8.733 0.905
```

***

Entry 2:
The following is a DFT calculation (PBE-GGA) of MgRePb after structural relaxation. Values from VASP.

space-group type: P-6m2 (187)
Fermi-level density of states: 0.5945 states/eV per atom
energy relative to the elements: 701.1 meV per atom
relative energy among the computed polymorphs: 61.7 meV per atom

Cell and atoms, written as Quantum ESPRESSO input:
```
&SYSTEM
  ibrav = 0, nat = 3, ntyp = 3
/
ATOMIC_SPECIES
Mg 24.30 Mg.upf
Pb 207.20 Pb.upf
Re 186.21 Re.upf
ATOMIC_POSITIONS angstrom
Mg 0.000 0.000 0.000
Pb 2.438 1.408 1.445
Re 0.000 2.816 1.446
CELL_PARAMETERS angstrom
4.877 0.000 0.000
-2.438 4.223 0.000
0.000 0.000 2.891
```

***

Entry 3:
The following is a DFT calculation (PBE-GGA) of Ba3LaPt after structural relaxation. Values from VASP.

space-group type: Pm-3m (221)
Fermi-level density of states: 0.6909 states/eV per atom
energy relative to the elements: -149.1 meV per atom
relative energy among the computed polymorphs: 0.0 meV per atom

Cell and atoms, written as Quantum ESPRESSO input:
```
&SYSTEM
  ibrav = 0, nat = 5, ntyp = 3
/
ATOMIC_SPECIES
Ba 137.33 Ba.upf
Pt 195.08 Pt.upf
La 138.91 La.upf
ATOMIC_POSITIONS angstrom
Ba 0.907 -2.030 -2.202
Ba 2.574 -0.649 1.658
Ba -1.532 -2.292 1.482
Pt 0.000 0.000 0.000
La 1.949 -4.971 0.937
CELL_PARAMETERS angstrom
-3.064 -4.583 2.963
1.814 -4.060 -4.405
5.148 -1.298 3.316
```

***

Entry 4:
The following is a DFT calculation (PBE-GGA) of ZnCd3 after structural relaxation. Values from VASP.

space-group type: Pnma (62)
Fermi-level density of states: 0.2441 states/eV per atom
energy relative to the elements: 50.2 meV per atom

Cell and atoms, written as Quantum ESPRESSO input:
```
&SYSTEM
  ibrav = 0, nat = 16, ntyp = 2
/
ATOMIC_SPECIES
Cd 112.41 Cd.upf
Zn 65.41 Zn.upf
ATOMIC_POSITIONS angstrom
Cd 0.646 -0.971 5.179
Cd -0.432 -1.675 2.198
Cd 2.399 -2.471 2.894
Cd 2.519 -3.796 5.604
Cd 5.350 -4.592 6.300
Cd 4.304 -5.291 3.193
Cd 0.142 -4.683 2.987
Cd -0.904 -5.382 -0.120
Cd 1.927 -6.178 0.576
Cd 2.047 -7.503 3.286
Cd 4.878 -8.299 3.982
Cd 3.800 -9.003 1.001
Zn 4.781 -2.669 4.251
Zn 1.098 -3.433 0.527
Zn 3.348 -6.541 5.653
Zn -0.335 -7.305 1.929
CELL_PARAMETERS angstrom
-1.324 -0.228 5.124
-1.926 -7.583 -0.835
7.695 -2.163 1.892
```